Record 1
# RbIn2NiGe PBE optimized geometry
data_RbIn2NiGe
_symmetry_space_group_name_H-M 'P 4/m m m'
_symmetry_Int_Tables_number 123
_symmetry_space_group_name_Hall '-P 4 2'
_cell_length_a 5.1653
_cell_length_b 5.1653
_cell_length_c 4.8348
_cell_angle_alpha 90.00
_cell_angle_beta 90.00
_cell_angle_gamma 90.00
loop_
_atom_site_label
_atom_site_fract_x
_atom_site_fract_y
_atom_site_fract_z
Rb1 0.0000 0.0000 0.0000
In1 0.0000 0.5000 0.5000
Ni1 0.5000 0.5000 0.5000
Ge1 0.5000 0.5000 0.0000
# DFT formation energy: 60 meV/atom
# raw total energy: -16.54 eV per formula unit
# D(E_F): 3.99 states/eV/cell

Record 2
# CaRh PBE optimized geometry
data_CaRh
_symmetry_space_group_name_H-M 'P 42/m n m'
_symmetry_Int_Tables_number 136
_symmetry_space_group_name_Hall '-P 4n 2n'
_cell_length_a 5.6958
_cell_length_b 5.6958
_cell_length_c 5.6108
_cell_angle_alpha 90.00
_cell_angle_beta 90.00
_cell_angle_gamma 90.00
loop_
_atom_site_label
_atom_site_fract_x
_atom_site_fract_y
_atom_site_fract_z
Ca1 0.2025 0.2025 0.0000
Rh1 0.1721 0.1721 0.5000
# DFT formation energy: 97 meV/atom
# raw total energy: -9.16 eV per formula unit
# D(E_F): 10.01 states/eV/cell

Record 3
# Pm6Cu5Rh PBE optimized geometry
data_Pm6Cu5Rh
_symmetry_space_group_name_H-M 'P 1 2/m 1'
_symmetry_Int_Tables_number 10
_symmetry_space_group_name_Hall '-P 2y'
_cell_length_a 5.0279
_cell_length_b 7.1287
_cell_length_c 7.9460
_cell_angle_alpha 90.00
_cell_angle_beta 108.24
_cell_angle_gamma 90.00
loop_
_atom_site_label
_atom_site_fract_x
_atom_site_fract_y
_atom_site_fract_z
Pm1 0.0000 0.2454 0.0000
Pm2 0.3364 0.2487 0.6721
Cu1 0.1647 0.5000 0.3292
Cu2 0.1740 0.0000 0.3483
Cu3 0.5000 0.5000 0.0000
Rh1 0.5000 0.0000 0.0000
# DFT formation energy: -259 meV/atom
# raw total energy: -59.45 eV per formula unit
# D(E_F): 9.60 states/eV/cell

Record 4
# TbNdHo3Er PBE optimized geometry
data_TbNdHo3Er
_symmetry_space_group_name_H-M 'C m c m'
_symmetry_Int_Tables_number 63
_symmetry_space_group_name_Hall '-C 2c 2'
_cell_length_a 5.7552
_cell_length_b 11.6011
_cell_length_c 11.4648
_cell_angle_alpha 90.00
_cell_angle_beta 90.00
_cell_angle_gamma 90.00
loop_
_atom_site_label
_atom_site_fract_x
_atom_site_fract_y
_atom_site_fract_z
Tb1 0.0000 0.0000 0.0000
Nd1 0.0000 0.4745 0.2500
Ho1 0.0000 0.1462 0.7500
Ho2 0.0000 0.3256 0.5245
Er1 0.0000 0.1712 0.2500
# DFT formation energy: 127 meV/atom
# raw total energy: -26.93 eV per formula unit
# D(E_F): 46.18 states/eV/cell

Record 5
# NdErHg4 PBE optimized geometry
data_NdErHg4
_symmetry_space_group_name_H-M 'P m m m'
_symmetry_Int_Tables_number 47
_symmetry_space_group_name_Hall '-P 2 2'
_cell_length_a 4.5321
_cell_length_b 4.5457
_cell_length_c 8.6389
_cell_angle_alpha 90.00
_cell_angle_beta 90.00
_cell_angle_gamma 90.00
loop_
_atom_site_label
_atom_site_fract_x
_atom_site_fract_y
_atom_site_fract_z
Nd1 0.0000 0.0000 0.0000
Er1 0.5000 0.5000 0.5000
Hg1 0.0000 0.5000 0.2610
Hg2 0.5000 0.0000 0.2619
# DFT formation energy: -175 meV/atom
# raw total energy: -11.59 eV per formula unit
# D(E_F): 3.41 states/eV/cell

Record 6
# ErBeAlCu PBE optimized geometry
data_ErBeAlCu
_symmetry_space_group_name_H-M 'F -4 3 m'
_symmetry_Int_Tables_number 216
_symmetry_space_group_name_Hall 'F -4 2 3'
_cell_length_a 6.3092
_cell_length_b 6.3092
_cell_length_c 6.3092
_cell_angle_alpha 90.00
_cell_angle_beta 90.00
_cell_angle_gamma 90.00
loop_
_atom_site_label
_atom_site_fract_x
_atom_site_fract_y
_atom_site_fract_z
Er1 0.0000 0.0000 0.0000
Be1 0.2500 0.2500 0.2500
Al1 0.0000 0.0000 0.5000
Cu1 0.2500 0.2500 0.7500
# DFT formation energy: -221 meV/atom
# raw total energy: -17.01 eV per formula unit
# D(E_F): 6.41 states/eV/cell